HgOs2Rh | the Alexandria database | SCAN | single point on PBEsol structure; formation energy from the elements = 704.2 meV per atom; calculated volume = 14.95 A^3/atom; N(E_F) = 1.02 states/eV/atom; calculated total energy = -60.720 eV/atom
1.0
-1.9491 1.9491 3.9339
1.9491 -1.9491 3.9339
1.9491 1.9491 -3.9339
Hg Os Rh
1 2 1
Direct
0.0000 0.0000 0.0000 Hg
0.5000 0.5000 0.0000 Os
0.7500 0.2500 0.5000 Os
0.2500 0.7500 0.5000 Rh

***

HgOs2Rh | the Alexandria database | SCAN | single point on PBEsol structure; formation energy from the elements = 702.0 meV per atom; calculated volume = 15.02 A^3/atom; N(E_F) = 1.21 states/eV/atom; calculated total energy = -60.722 eV/atom
1.0
4.7411 0.0000 0.0000
0.0000 2.7688 0.0000
-1.5672 0.0000 4.5765
Hg Os Rh
1 2 1
Direct
0.0000 0.0000 0.0000 Hg
0.0000 0.5000 0.5000 Os
0.5000 0.0000 0.5000 Os
0.5000 0.5000 0.0000 Rh

***

Hg2OsRu | the Alexandria database | SCAN | single point on PBEsol structure; formation energy from the elements = 944.4 meV per atom; ΔE to the lowest computed polymorph = 104 meV per atom; calculated volume = 16.63 A^3/atom; N(E_F) = 0.53 states/eV/atom; calculated total energy = -59.815 eV/atom
1.0
2.8201 0.0000 0.0000
0.0000 4.0932 0.0000
0.0000 0.0000 5.7639
Hg Os Ru
2 1 1
Direct
0.0000 0.0000 0.2489 Hg
0.0000 0.0000 0.7511 Hg
0.5000 0.5000 0.5000 Os
0.5000 0.5000 0.0000 Ru

***

HgOsRu2 | the Alexandria database | SCAN | single point on PBEsol structure; formation energy from the elements = 610.4 meV per atom; calculated volume = 15.01 A^3/atom; N(E_F) = 1.22 states/eV/atom; calculated total energy = -51.814 eV/atom
1.0
4.5079 -1.3840 0.0000
4.5079 1.3840 0.0000
-0.8013 0.0000 4.8117
Hg Os Ru
1 1 2
Direct
0.0000 0.0000 0.0000 Hg
0.5000 0.5000 0.5000 Os
0.2414 0.2414 0.7206 Ru
0.7586 0.7586 0.2794 Ru

***

Hg2OsRu | the Alexandria database | SCAN | single point on PBEsol structure; formation energy from the elements = 901.0 meV per atom; ΔE to the lowest computed polymorph = 61 meV per atom; calculated volume = 16.67 A^3/atom; N(E_F) = 0.59 states/eV/atom; calculated total energy = -59.859 eV/atom
1.0
2.8193 0.0000 0.0000
0.0000 4.7858 0.0000
-0.0738 0.0000 4.9433
Hg Os Ru
2 1 1
Direct
0.2468 0.0000 0.2486 Hg
0.7532 0.0000 0.7514 Hg
0.0000 0.5000 0.5000 Os
0.5000 0.5000 0.0000 Ru

***

HgOs3Ru | the Alexandria database | SCAN | single point on PBEsol structure; formation energy from the elements = 3789.8 meV per atom; calculated volume = 21.32 A^3/atom; N(E_F) = 1.17 states/eV/atom; calculated total energy = -59.937 eV/atom
1.0
4.7413 0.0000 0.0000
0.0000 4.7413 0.0000
0.0000 0.0000 4.7413
Hg Os Ru
1 3 1
Direct
0.0000 0.0000 0.0000 Hg
0.0000 0.0000 0.5000 Os
0.0000 0.5000 0.0000 Os
0.5000 0.0000 0.0000 Os
0.5000 0.5000 0.5000 Ru

***

HgOsRu2 | the Alexandria database | SCAN | single point on PBEsol structure; formation energy from the elements = 922.7 meV per atom; calculated volume = 15.15 A^3/atom; N(E_F) = 0.81 states/eV/atom; calculated total energy = -51.502 eV/atom
1.0
2.8178 0.0000 0.0000
0.0000 4.6031 0.0000
0.0000 0.0000 4.6709
Hg Os Ru
1 1 2
Direct
0.0000 0.0000 0.0000 Hg
0.5000 0.0000 0.5000 Os
0.0000 0.5000 0.5000 Ru
0.5000 0.5000 0.0000 Ru